Density functional theory data (PBE) for a geometry-optimized PmTh2Pd structure.

Lattice parameters (Å, degrees): 3.687 3.687 8.417 90.00 90.00 90.00
Element x y z (fractional)
1 Th 0.000 0.000 0.206
2 Th 0.000 0.000 0.794
3 Pm 0.500 0.500 0.500
4 Pd 0.500 0.500 0.000

Output
V: 114 Å³ per cell
formation energy: -273 meV/atom
E above lowest polymorph: 100 meV per atom

***

Density functional theory data (PBE) for a geometry-optimized Pm2Th2Pd15 structure.

Lattice parameters (Å, degrees): 7.190 7.190 7.190 80.93 80.93 80.93
Element x y z (fractional)
1 Th 0.888 0.888 0.888
2 Th 0.112 0.112 0.112
3 Pd 0.000 0.311 0.689
4 Pd 0.837 0.347 0.347
5 Pd 0.653 0.163 0.653
6 Pd 0.311 0.000 0.689
7 Pd 0.347 0.347 0.837
8 Pd 0.000 0.689 0.311
9 Pd 0.000 0.000 0.500
10 Pd 0.500 0.000 0.000
11 Pd 0.347 0.837 0.347
12 Pd 0.163 0.653 0.653
13 Pd 0.000 0.500 0.000
14 Pd 0.689 0.311 0.000
15 Pd 0.311 0.689 0.000
16 Pd 0.653 0.653 0.163
17 Pd 0.689 0.000 0.311
18 Pm 0.366 0.366 0.366
19 Pm 0.634 0.634 0.634

Output
V: 359 Å³ per cell
formation energy: -576 meV/atom